Entry from Alexandria via LeMat-Bulk: a geometry-optimized Sr2CdInNi structure (PBE-GGA).

Calculated values
DOS(E_F) in states/eV/f.u.: 3.23
M_tot in μB/atom: 0.0000
E in eV/atom: -2.74
Formation enthalpy at 0 K in meV/atom: -181

Cell: 5.702 5.702 4.946 Å, 90.00 90.00 90.00°
Space group P4/mmm (No. 123)
Inequivalent atoms, fractional coordinates:
Sr 0.000 0.500 0.000 x2
Cd 0.000 0.000 0.500 x1
In 0.500 0.500 0.500 x1
Ni 0.500 0.500 0.000 x1